This record from Alexandria describes AsIr2N after structural relaxation. The functional is PBEsol.

Calculated values
The calculation puts the magnetization at 0.00 μB per formula unit. The value obtained for the volume is 62.08 Å³/f.u. As for the formation energy without anion corrections: 273 meV/atom.

Unit cell a=4.8320 b=4.8320 c=6.3207 alpha=112.47 beta=112.47 gamma=90.00
Fractional coordinates of all 8 atoms:
As 0.2500 0.7500 0.5000
As 0.0000 0.0000 0.0000
Ir 0.4588 0.8750 0.2500
Ir 0.7912 0.3750 0.2500
Ir 0.1250 0.2088 0.7500
Ir 0.6250 0.5412 0.7500
N 0.7500 0.2500 0.5000
N 0.5000 0.5000 0.0000